Entry 1:
Na16Tl12Ga | the Alexandria database | PBE | optimized geometry; SG = Cm; energy of formation from the pure elements = -92 meV per atom; crystal system = monoclinic; total moment = 0.000 μB/f.u.
1.0
9.802 -0.065 -3.451
-4.897 8.492 -3.451
-0.041 -0.071 10.257
Tl Ga Na
12 1 16
Cartesian
-3.070 8.418 -0.154 Tl
7.922 3.079 -2.781 Tl
4.843 5.140 1.348 Tl
3.906 6.710 -3.530 Tl
-1.234 8.410 -2.781 Tl
2.828 1.680 -1.964 Tl
2.079 6.749 1.348 Tl
8.836 1.486 -0.154 Tl
0.064 3.288 -1.964 Tl
-2.146 6.831 4.826 Tl
7.000 1.506 4.826 Tl
2.999 5.151 3.956 Tl
2.923 5.020 -1.203 Ga
4.048 -0.069 5.679 Na
4.363 2.258 3.041 Na
1.502 2.579 5.274 Na
6.438 5.525 4.519 Na
0.034 0.059 -0.032 Na
-2.059 3.486 5.679 Na
4.731 3.507 -3.758 Na
1.733 2.977 1.055 Na
1.824 8.358 -1.582 Na
1.626 8.326 4.519 Na
0.713 5.846 -3.758 Na
-0.021 -0.036 6.741 Na
-0.191 4.909 3.041 Na
6.367 5.713 -1.582 Na
-0.528 6.046 -0.406 Na
5.518 2.526 -0.406 Na

***

Entry 2:
NdDyAgHg | the Alexandria database | PBE | optimized geometry; SG = F-43m; energy of formation from the pure elements = -379 meV per atom; energy above the lowest structure with this stoichiometry = 0.01 eV/f.u.; crystal system = cubic; total moment = 0.000 μB/f.u.
1.0
-4.517 -0.416 -2.717
-0.965 -4.329 -2.878
-3.712 -3.432 1.550
Ag Nd Hg Dy
1 1 1 1
Cartesian
-2.298 -2.044 -1.011 Ag
0.000 0.000 0.000 Nd
-6.895 -6.133 -3.034 Hg
-4.597 -4.089 -2.023 Dy

***

Entry 3:
NaWI2N | the Alexandria database | PBE | optimized geometry; SG = P4/mmm; energy above the lowest structure with this stoichiometry = 11.28 eV/f.u.; crystal system = tetragonal; total moment = 0.000 μB/f.u.; uncorrected formation energy = 2.201 eV/atom
1.0
-3.402 3.039 2.851
2.703 -1.191 4.495
2.364 3.187 -0.577
Na N I W
1 1 2 1
Cartesian
0.000 0.000 0.000 Na
1.182 1.594 -0.288 N
1.352 -0.596 2.248 I
-1.701 1.519 1.426 I
0.833 2.517 3.385 W

***

Entry 4:
CdSn2Ir | the Alexandria database | PBE | optimized geometry; SG = R-3m; energy of formation from the pure elements = 25 meV per atom; crystal system = trigonal; total moment = 0.000 μB/f.u.
1.0
3.618 0.000 0.000
1.809 3.133 0.000
1.809 1.044 9.068
Cd Sn Ir
1 2 1
Cartesian
0.000 0.000 0.000 Cd
1.809 1.044 6.214 Sn
5.427 3.133 2.854 Sn
3.618 2.089 4.534 Ir

***

- Which value of total moment does entry 1 give?
  0.000 μB/f.u.

***

- total moment of number 3 (NaWI2N)?
  0.000 μB/f.u.